! TcAg2Mo SCAN PBEsol geometry; values from VASP
&SYSTEM
  ibrav = 0, nat = 4, ntyp = 3
/
ATOMIC_SPECIES
Ag 107.87 Ag.upf
Mo 95.94 Mo.upf
Tc 98.00 Tc.upf
CELL_PARAMETERS angstrom
-3.0494 1.8623 0.9411
-1.7203 -3.1870 0.7324
1.4349 0.2020 4.2495
ATOMIC_POSITIONS crystal
Ag 0.0000 0.5000 0.0000
Ag 0.5000 0.0000 0.0000
Mo 0.5000 0.5000 0.5000
Tc 0.0000 0.0000 0.5000
! Total DFT energy (no corrections)   -32.644 eV per atom
! ΔE to the lowest computed polymorph   168 meV/atom
! ρ   11.10 g/cm3
! Formation enthalpy at 0 K   2.10 eV/f.u.

=====

! TcAg2Mo SCAN PBEsol geometry; values from VASP
&SYSTEM
  ibrav = 0, nat = 4, ntyp = 3
/
ATOMIC_SPECIES
Ag 107.87 Ag.upf
Mo 95.94 Mo.upf
Tc 98.00 Tc.upf
CELL_PARAMETERS angstrom
3.9877 0.0000 0.0000
0.0000 3.9877 0.0000
-1.9939 -1.9939 3.8467
ATOMIC_POSITIONS crystal
Ag 0.0000 0.0000 0.0000
Ag 0.7500 0.2500 0.5000
Mo 0.5000 0.5000 0.0000
Tc 0.2500 0.7500 0.5000
! Total DFT energy (no corrections)   -32.592 eV per atom
! ΔE to the lowest computed polymorph   221 meV/atom
! ρ   11.12 g/cm3
! Formation enthalpy at 0 K   2.31 eV/f.u.

=====

! AgTeMo2 SCAN PBEsol geometry; values from VASP
&SYSTEM
  ibrav = 0, nat = 4, ntyp = 3
/
ATOMIC_SPECIES
Ag 107.87 Ag.upf
Mo 95.94 Mo.upf
Te 127.60 Te.upf
CELL_PARAMETERS angstrom
3.0249 0.0000 0.0000
1.5125 2.6196 0.0000
1.5125 0.8732 8.7580
ATOMIC_POSITIONS crystal
Ag 0.0000 0.0000 0.0000
Mo 0.2469 0.2469 0.2593
Mo 0.7531 0.7531 0.7407
Te 0.5000 0.5000 0.5000
! Total DFT energy (no corrections)   -33.892 eV per atom
! ρ   10.23 g/cm3
! ΔE_f (raw)   0.705 eV/atom

=====

! Ti2AgMo SCAN PBEsol geometry; values from VASP
&SYSTEM
  ibrav = 0, nat = 4, ntyp = 3
/
ATOMIC_SPECIES
Mo 95.94 Mo.upf
Ag 107.87 Ag.upf
Ti 47.87 Ti.upf
CELL_PARAMETERS angstrom
-1.3865 1.7526 -3.8572
-0.5153 -2.6103 -3.5768
-4.0892 -0.9144 -1.5216
ATOMIC_POSITIONS crystal
Mo 0.0000 0.0000 0.0000
Ag 0.5000 0.5000 0.5000
Ti 0.2500 0.2500 0.2500
Ti 0.7500 0.7500 0.7500
! Total DFT energy (no corrections)   -24.638 eV per atom
! ρ   7.94 g/cm3
! Formation enthalpy at 0 K   -0.24 eV/f.u.

=====

! TlAg2Mo SCAN PBEsol geometry; values from VASP
&SYSTEM
  ibrav = 0, nat = 4, ntyp = 3
/
ATOMIC_SPECIES
Ag 107.87 Ag.upf
Mo 95.94 Mo.upf
Tl 204.38 Tl.upf
CELL_PARAMETERS angstrom
2.9257 0.0000 0.0000
0.0000 4.9942 0.0000
-1.4628 -2.4971 4.8799
ATOMIC_POSITIONS crystal
Ag 0.0033 0.0033 0.0066
Ag 0.7468 0.2468 0.4937
Mo 0.4973 0.4973 0.9946
Tl 0.2526 0.7526 0.5052
! Total DFT energy (no corrections)   -41.822 eV per atom
! ΔE to the lowest computed polymorph   152 meV/atom
! ρ   12.02 g/cm3
! Formation enthalpy at 0 K   2.69 eV/f.u.

=====

! TlAg2Mo SCAN PBEsol geometry; values from VASP
&SYSTEM
  ibrav = 0, nat = 4, ntyp = 3
/
ATOMIC_SPECIES
Ag 107.87 Ag.upf
Mo 95.94 Mo.upf
Tl 204.38 Tl.upf
CELL_PARAMETERS angstrom
-1.0591 -4.3011 -1.3938
4.2507 1.7334 -0.8433
-1.2246 -1.1052 4.3408
ATOMIC_POSITIONS crystal
Ag 0.0000 0.0000 0.0000
Ag 0.7500 0.5000 0.2500
Mo 0.5000 0.0000 0.5000
Tl 0.2500 0.5000 0.7500
! Total DFT energy (no corrections)   -41.864 eV per atom
! ΔE to the lowest computed polymorph   110 meV/atom
! ρ   11.98 g/cm3
! Formation enthalpy at 0 K   2.52 eV/f.u.

=====

! TlAg2Mo SCAN PBEsol geometry; values from VASP
&SYSTEM
  ibrav = 0, nat = 4, ntyp = 3
/
ATOMIC_SPECIES
Ag 107.87 Ag.upf
Mo 95.94 Mo.upf
Tl 204.38 Tl.upf
CELL_PARAMETERS angstrom
-0.4733 0.0473 2.8935
-2.3702 -1.3143 1.1196
4.0230 -8.5804 2.2843
ATOMIC_POSITIONS crystal
Ag 0.0043 0.0043 0.9871
Ag 0.7508 0.7508 0.7476
Mo 0.4962 0.4962 0.5113
Tl 0.2487 0.2487 0.2540
! Total DFT energy (no corrections)   -41.973 eV per atom
! ΔE to the lowest computed polymorph   0 meV/atom
! ρ   11.99 g/cm3
! Formation enthalpy at 0 K   2.08 eV/f.u.

=====

! TlAg2Mo SCAN PBEsol geometry; values from VASP
&SYSTEM
  ibrav = 0, nat = 4, ntyp = 3
/
ATOMIC_SPECIES
Ag 107.87 Ag.upf
Mo 95.94 Mo.upf
Tl 204.38 Tl.upf
CELL_PARAMETERS angstrom
-2.0522 1.9095 -0.2878
-1.8836 -1.8769 0.9326
1.4279 2.8270 8.5736
ATOMIC_POSITIONS crystal
Ag 0.0000 0.0000 0.2729
Ag 0.0000 0.0000 0.7271
Mo 0.5000 0.5000 0.5000
Tl 0.5000 0.5000 0.0000
! Total DFT energy (no corrections)   -41.974 eV per atom
! ΔE to the lowest computed polymorph   0 meV/atom
! ρ   11.81 g/cm3
! Formation enthalpy at 0 K   2.08 eV/f.u.

=====

! AgMoW2 SCAN PBEsol geometry; values from VASP
&SYSTEM
  ibrav = 0, nat = 4, ntyp = 3
/
ATOMIC_SPECIES
Ag 107.87 Ag.upf
Mo 95.94 Mo.upf
W 183.84 W.upf
CELL_PARAMETERS angstrom
-0.1632 -3.2214 2.5087
-1.2937 -2.3406 -3.0897
4.2838 1.9385 -0.5600
ATOMIC_POSITIONS crystal
Ag 0.5000 0.5000 0.0000
Mo 0.2500 0.7500 0.5000
W 0.0000 0.0000 0.0000
W 0.7500 0.2500 0.5000
! Total DFT energy (no corrections)   -50.808 eV per atom
! ΔE to the lowest computed polymorph   295 meV/atom
! ρ   15.15 g/cm3
! Formation enthalpy at 0 K   2.40 eV/f.u.

=====

! AgMoW2 SCAN PBEsol geometry; values from VASP
&SYSTEM
  ibrav = 0, nat = 4, ntyp = 3
/
ATOMIC_SPECIES
Ag 107.87 Ag.upf
Mo 95.94 Mo.upf
W 183.84 W.upf
CELL_PARAMETERS angstrom
-2.1878 -1.3497 -0.6915
-1.1629 -0.3601 4.3822
-1.9943 4.8710 -0.1289
ATOMIC_POSITIONS crystal
Ag 0.5000 0.5000 0.0000
Mo 0.0000 0.5000 0.5000
W 0.7542 0.0000 0.7433
W 0.2458 0.0000 0.2567
! Total DFT energy (no corrections)   -50.945 eV per atom
! ΔE to the lowest computed polymorph   158 meV/atom
! ρ   15.06 g/cm3
! Formation enthalpy at 0 K   1.85 eV/f.u.

=====

! AgMoW2 SCAN PBEsol geometry; values from VASP
&SYSTEM
  ibrav = 0, nat = 4, ntyp = 3
/
ATOMIC_SPECIES
Ag 107.87 Ag.upf
Mo 95.94 Mo.upf
W 183.84 W.upf
CELL_PARAMETERS angstrom
-2.3093 -1.0416 0.9436
0.8650 -1.5668 -2.0261
4.7000 -5.0591 5.9186
ATOMIC_POSITIONS crystal
Ag 0.0000 0.0000 0.4998
Mo 0.5000 0.5000 0.2408
W 0.0000 0.0000 0.0008
W 0.5000 0.5000 0.7586
! Total DFT energy (no corrections)   -51.104 eV per atom
! ΔE to the lowest computed polymorph   0 meV/atom
! ρ   15.03 g/cm3
! Formation enthalpy at 0 K   1.21 eV/f.u.

=====

! AgMoW2 SCAN PBEsol geometry; values from VASP
&SYSTEM
  ibrav = 0, nat = 4, ntyp = 3
/
ATOMIC_SPECIES
Ag 107.87 Ag.upf
Mo 95.94 Mo.upf
W 183.84 W.upf
CELL_PARAMETERS angstrom
-3.1782 0.5899 -0.6750
-1.1372 -1.6328 3.9279
2.5204 4.4781 0.1233
ATOMIC_POSITIONS crystal
Ag 0.5000 0.0000 0.0000
Mo 0.0000 0.5000 0.0000
W 0.7349 0.7349 0.4699
W 0.2651 0.2651 0.5301
! Total DFT energy (no corrections)   -50.868 eV per atom
! ΔE to the lowest computed polymorph   236 meV/atom
! ρ   15.03 g/cm3
! Formation enthalpy at 0 K   2.16 eV/f.u.

=====

! Y2AgMo SCAN PBEsol geometry; values from VASP
&SYSTEM
  ibrav = 0, nat = 4, ntyp = 3
/
ATOMIC_SPECIES
Ag 107.87 Ag.upf
Mo 95.94 Mo.upf
Y 88.91 Y.upf
CELL_PARAMETERS angstrom
-0.5229 2.2700 4.2991
2.2229 -1.7634 3.9822
3.7715 2.4130 1.9652
ATOMIC_POSITIONS crystal
Ag 0.5000 0.5000 0.5000
Mo 0.2500 0.2500 0.2500
Y 0.0000 0.0000 0.0000
Y 0.7500 0.7500 0.7500
! Total DFT energy (no corrections)   -30.019 eV per atom
! ΔE to the lowest computed polymorph   376 meV/atom
! ρ   7.67 g/cm3
! Formation enthalpy at 0 K   1.86 eV/f.u.

=====

! Y2AgMo SCAN PBEsol geometry; values from VASP
&SYSTEM
  ibrav = 0, nat = 4, ntyp = 3
/
ATOMIC_SPECIES
Ag 107.87 Ag.upf
Mo 95.94 Mo.upf
Y 88.91 Y.upf
CELL_PARAMETERS angstrom
-2.5780 2.2278 -0.6169
-2.2910 -2.3395 1.1257
0.6442 2.6108 6.7367
ATOMIC_POSITIONS crystal
Ag 0.5000 0.5000 0.0000
Mo 0.5000 0.5000 0.5000
Y 0.0000 0.0000 0.7349
Y 0.0000 0.0000 0.2651
! Total DFT energy (no corrections)   -30.396 eV per atom
! ΔE to the lowest computed polymorph   0 meV/atom
! ρ   7.29 g/cm3
! Formation enthalpy at 0 K   0.36 eV/f.u.

=====

! ZnAgMo SCAN PBEsol geometry; values from VASP
&SYSTEM
  ibrav = 0, nat = 3, ntyp = 3
/
ATOMIC_SPECIES
Ag 107.87 Ag.upf
Mo 95.94 Mo.upf
Zn 65.41 Zn.upf
CELL_PARAMETERS angstrom
4.1647 0.0000 0.0000
2.0823 3.6067 0.0000
2.0823 1.2022 3.4004
ATOMIC_POSITIONS crystal
Ag 0.0000 0.0000 0.0000
Mo 0.5000 0.5000 0.5000
Zn 0.2500 0.2500 0.2500
! Total DFT energy (no corrections)   -25.668 eV per atom
! ρ   8.75 g/cm3
! Formation enthalpy at 0 K   2.76 eV/f.u.